1.
VASP calculation (PBE) on crystalline InCoSb2Te at its relaxed geometry.

Cell: 4.828 4.828 4.914 Å, 90.00 90.00 90.00°
Positions (direct):
In 0.000 0.000 0.000
Co 0.000 0.000 0.500
Sb 0.000 0.500 0.500
Sb 0.500 0.000 0.500
Te 0.500 0.500 0.000

Values from the calculation:
The value obtained for the calculated total energy is -20.5 eV/f.u.


2.
VASP calculation (PBE) on crystalline V4CrMo4 at its relaxed geometry.

Cell: 6.662 6.662 6.662 Å, 93.03 93.03 153.43°
Positions (direct):
V 0.162 0.162 0.324
V 0.162 0.838 0.000
V 0.838 0.162 0.000
V 0.838 0.838 0.676
Cr 0.500 0.500 0.000
Mo 0.172 0.500 0.672
Mo 0.500 0.172 0.672
Mo 0.500 0.828 0.328
Mo 0.828 0.500 0.328

Values from the calculation:
The value obtained for the formation energy is -9.5 kJ/mol of atoms.


3.
VASP calculation (PBE) on crystalline LaTb5Ho2Sc at its relaxed geometry.

Cell: 10.259 10.259 10.385 Å, 90.00 90.00 148.32°
Positions (direct):
La 0.085 0.915 0.500
La 0.915 0.085 0.000
Tb 0.018 0.982 0.786
Tb 0.124 0.876 0.067
Tb 0.203 0.797 0.753
Tb 0.223 0.777 0.369
Tb 0.482 0.518 0.068
Tb 0.518 0.482 0.568
Tb 0.777 0.223 0.869
Tb 0.797 0.203 0.253
Tb 0.876 0.124 0.567
Tb 0.982 0.018 0.286
Ho 0.386 0.614 0.781
Ho 0.388 0.612 0.361
Ho 0.612 0.388 0.861
Ho 0.614 0.386 0.281
Sc 0.303 0.697 0.061
Sc 0.697 0.303 0.561

Values from the calculation:
The value obtained for the formation energy is 17.0 kJ/mol of atoms.


4.
VASP calculation (PBE) on crystalline Li2SiSb at its relaxed geometry.

Cell: 2.979 2.979 8.311 Å, 90.00 90.00 90.00°
Positions (direct):
Li 0.000 0.000 0.229
Li 0.000 0.000 0.771
Si 0.500 0.500 0.000
Sb 0.500 0.500 0.500

Values from the calculation:
The value obtained for the calculated total energy is -14.0 eV/f.u.


5.
VASP calculation (PBE) on crystalline CsHfBi2Pb at its relaxed geometry.

Cell: 5.773 5.773 5.791 Å, 90.00 90.00 90.00°
Positions (direct):
Cs 0.000 0.000 0.000
Hf 0.500 0.500 0.500
Bi 0.000 0.500 0.500
Bi 0.500 0.000 0.500
Pb 0.500 0.500 0.000

Values from the calculation:
The value obtained for the formation energy is -5.5 kJ/mol of atoms.


6.
VASP calculation (PBE) on crystalline SrAcPmAl at its relaxed geometry.

Cell: 8.192 8.192 8.192 Å, 90.00 90.00 90.00°
Positions (direct):
Sr 0.000 0.000 0.000
Sr 0.000 0.500 0.500
Sr 0.500 0.000 0.500
Sr 0.500 0.500 0.000
Ac 0.250 0.250 0.250
Ac 0.250 0.750 0.750
Ac 0.750 0.250 0.750
Ac 0.750 0.750 0.250
Pm 0.000 0.000 0.500
Pm 0.000 0.500 0.000
Pm 0.500 0.000 0.000
Pm 0.500 0.500 0.500
Al 0.250 0.250 0.750
Al 0.250 0.750 0.250
Al 0.750 0.250 0.250
Al 0.750 0.750 0.750

Values from the calculation:
The value obtained for the formation energy is 17.2 kJ/mol of atoms.


7.
VASP calculation (PBE) on crystalline HfTa3Nb at its relaxed geometry.

Cell: 8.808 8.808 4.724 Å, 90.00 90.00 148.88°
Positions (direct):
Hf 0.053 0.947 0.750
Hf 0.947 0.053 0.250
Ta 0.155 0.845 0.250
Ta 0.345 0.655 0.250
Ta 0.446 0.554 0.750
Ta 0.554 0.446 0.250
Ta 0.655 0.345 0.750
Ta 0.845 0.155 0.750
Nb 0.249 0.751 0.750
Nb 0.751 0.249 0.250

Values from the calculation:
The value obtained for the formation energy is 5.4 kJ/mol of atoms.


8.
VASP calculation (PBE) on crystalline RbTcAs2O8 at its relaxed geometry.

Cell: 9.629 9.629 9.629 Å, 30.41 30.41 30.41°
Positions (direct):
Rb 0.000 0.000 0.000
Tc 0.500 0.500 0.500
As 0.231 0.231 0.231
As 0.769 0.769 0.769
O 0.131 0.759 0.484
O 0.241 0.516 0.869
O 0.292 0.292 0.292
O 0.484 0.131 0.759
O 0.516 0.869 0.241
O 0.708 0.708 0.708
O 0.759 0.484 0.131
O 0.869 0.241 0.516

Values from the calculation:
The value obtained for the calculated total energy is -76.0 eV/f.u.


Q: Which formula does entry 4 have?
A: Li2SiSb